# Ti4FeOs3 (PBE, optimized geometry)
data_Ti4FeOs3
_chemical_formula_sum 'Ti4 Fe1 Os3'
_space_group_name_H-M_alt 'P 1'
_space_group_IT_number 1
_cell_length_a 3.0690
_cell_length_b 3.0690
_cell_length_c 12.2224
_cell_angle_alpha 90.00
_cell_angle_beta 90.00
_cell_angle_gamma 90.00
loop_
_space_group_symop_operation_xyz
'x,y,z'
loop_
_atom_site_label
_atom_site_type_symbol
_atom_site_fract_x
_atom_site_fract_y
_atom_site_fract_z
Os1 Os 0.5000 0.5000 0.5000
Ti1 Ti 0.0000 0.0000 0.1183
Os2 Os 0.5000 0.5000 0.7548
Os3 Os 0.5000 0.5000 0.2452
Ti2 Ti 0.0000 0.0000 0.6275
Ti3 Ti 0.0000 0.0000 0.8817
Ti4 Ti 0.0000 0.0000 0.3725
Fe1 Fe 0.5000 0.5000 0.0000
# SG ... No. 123
# Crystal system ... tetragonal

---

# TiFe4Os (PBE, optimized geometry)
data_TiFe4Os
_chemical_formula_sum 'Ti1 Fe4 Os1'
_space_group_name_H-M_alt 'P 1'
_space_group_IT_number 1
_cell_length_a 4.7198
_cell_length_b 4.7198
_cell_length_c 4.7198
_cell_angle_alpha 60.00
_cell_angle_beta 60.00
_cell_angle_gamma 60.00
loop_
_space_group_symop_operation_xyz
'x,y,z'
loop_
_atom_site_label
_atom_site_type_symbol
_atom_site_fract_x
_atom_site_fract_y
_atom_site_fract_z
Fe1 Fe 0.6255 0.1236 0.6255
Fe2 Fe 0.1236 0.6255 0.6255
Fe3 Fe 0.6255 0.6255 0.1236
Ti1 Ti 0.2500 0.2500 0.2500
Os1 Os 0.0000 0.0000 0.0000
Fe4 Fe 0.6255 0.6255 0.6255
# SG ... No. 216
# Crystal system ... cubic

---

# Ti2Fe2Os (PBE, optimized geometry)
data_Ti2Fe2Os
_chemical_formula_sum 'Ti2 Fe2 Os1'
_space_group_name_H-M_alt 'P 1'
_space_group_IT_number 1
_cell_length_a 3.7765
_cell_length_b 3.7765
_cell_length_c 5.6467
_cell_angle_alpha 70.46
_cell_angle_beta 70.46
_cell_angle_gamma 90.00
loop_
_space_group_symop_operation_xyz
'x,y,z'
loop_
_atom_site_label
_atom_site_type_symbol
_atom_site_fract_x
_atom_site_fract_y
_atom_site_fract_z
Fe1 Fe 0.3970 0.3970 0.2059
Os1 Os 0.0000 0.0000 0.0000
Ti1 Ti 0.2500 0.7500 0.5000
Fe2 Fe 0.6030 0.6030 0.7941
Ti2 Ti 0.7500 0.2500 0.5000
# SG ... No. 139
# Crystal system ... tetragonal
# Relative energy among the computed polymorphs ... 0.568 eV per atom

---

# TiFe2Os (PBE, optimized geometry)
data_TiFe2Os
_chemical_formula_sum 'Ti2 Fe4 Os2'
_space_group_name_H-M_alt 'P 1'
_space_group_IT_number 1
_cell_length_a 3.5385
_cell_length_b 3.5385
_cell_length_c 9.5755
_cell_angle_alpha 79.35
_cell_angle_beta 79.35
_cell_angle_gamma 90.00
loop_
_space_group_symop_operation_xyz
'x,y,z'
loop_
_atom_site_label
_atom_site_type_symbol
_atom_site_fract_x
_atom_site_fract_y
_atom_site_fract_z
Ti1 Ti 0.5000 0.5000 0.0000
Ti2 Ti 0.2500 0.7500 0.5000
Fe1 Fe 0.6317 0.1250 0.2500
Os1 Os 0.7500 0.2500 0.5000
Fe2 Fe 0.8750 0.8817 0.7500
Fe3 Fe 0.1183 0.6250 0.2500
Os2 Os 0.0000 0.0000 0.0000
Fe4 Fe 0.3750 0.3683 0.7500
# SG ... No. 122
# Crystal system ... tetragonal

---

Going through the records in order, we get electronic total energy values of -9.84, -8.93, -8.32, -8.64 eV/atom.
Going through the records in order, we get energy of formation values of -0.63, -0.10, 0.47, 0.37 eV/atom.
Going through the records in order, we get spin magnetization values of 0.187, 7.549, 0.472, 4.507 μB per formula unit.